A plane-wave DFT calculation with GGA-PBE was carried out for La2MgSi3Rh4 after structural relaxation.

Cell and atoms, written as CIF:
```
data_La2MgSi3Rh4
_chemical_formula_sum 'La2 Mg1 Si3 Rh4'
_cell_length_a 4.1884
_cell_length_b 4.1884
_cell_length_c 10.3941
_cell_angle_alpha 90.00
_cell_angle_beta 90.00
_cell_angle_gamma 90.00
_space_group_name_H-M_alt 'P -4 m 2'
_space_group_IT_number 115
loop_
_space_group_symop_operation_xyz
'x,y,z'
'y,-x,-z'
'-x,-y,z'
'-y,x,-z'
'-x,y,z'
'-y,-x,-z'
'x,-y,z'
'y,x,-z'
loop_
_atom_site_label
_atom_site_type_symbol
_atom_site_fract_x
_atom_site_fract_y
_atom_site_fract_z
La1 La 0.0000 0.5000 0.2479
Mg1 Mg 0.0000 0.0000 0.5000
Si1 Si 0.0000 0.5000 0.8790
Si2 Si 0.5000 0.5000 0.5000
Rh1 Rh 0.0000 0.0000 0.0000
Rh2 Rh 0.0000 0.5000 0.6427
Rh3 Rh 0.5000 0.5000 0.0000
```

Formation energy (no corrections) ... -0.951 eV per atom



A plane-wave DFT calculation with GGA-PBE was carried out for BeSi4Cl after structural relaxation.

Cell and atoms, written as CIF:
```
data_BeSi4Cl
_chemical_formula_sum 'Be4 Si16 Cl4'
_cell_length_a 7.2641
_cell_length_b 7.2641
_cell_length_c 7.2641
_cell_angle_alpha 90.00
_cell_angle_beta 90.00
_cell_angle_gamma 90.00
_space_group_name_H-M_alt 'F -4 3 m'
_space_group_IT_number 216
_space_group_name_Hall 'F -4 2 3'
loop_
_atom_site_label
_atom_site_type_symbol
_atom_site_fract_x
_atom_site_fract_y
_atom_site_fract_z
Be1 Be 0.0000 0.0000 0.0000
Si1 Si 0.1247 0.1247 0.3753
Cl1 Cl 0.2500 0.2500 0.7500
```

Formation energy (no corrections) ... 0.690 eV per atom



A plane-wave DFT calculation with GGA-PBE was carried out for TaAsC3 after structural relaxation.

Cell and atoms, written as CIF:
```
data_TaAsC3
_chemical_formula_sum 'Ta1 As1 C3'
_cell_length_a 4.2066
_cell_length_b 4.2066
_cell_length_c 4.2066
_cell_angle_alpha 90.00
_cell_angle_beta 90.00
_cell_angle_gamma 90.00
_space_group_name_H-M_alt 'P m -3 m'
_space_group_IT_number 221
_space_group_name_Hall '-P 4 2 3'
loop_
_atom_site_label
_atom_site_type_symbol
_atom_site_fract_x
_atom_site_fract_y
_atom_site_fract_z
Ta1 Ta 0.0000 0.0000 0.0000
As1 As 0.5000 0.5000 0.5000
C1 C 0.0000 0.0000 0.5000
```

Excess energy over the best structure of this formula in the dataset ... 0.0 meV/atom
ΔE_f ... 2.059 eV/atom



Across the entries above, electronic total energy takes the values -6.664, -3.854, -6.776 eV/atom, respectively.